(1)
! In2CuPd9 GGA-PBE optimized geometry; values from VASP
&SYSTEM
  ibrav = 0, nat = 12, ntyp = 3
/
ATOMIC_SPECIES
In 114.82 In.upf
Cu 63.55 Cu.upf
Pd 106.42 Pd.upf
ATOMIC_POSITIONS angstrom
In 0.0000 0.0000 2.0375
In 0.0000 0.0000 9.8024
Cu 0.0000 0.0000 5.9199
Pd 0.0000 2.0088 0.0000
Pd 0.0000 2.0088 4.0636
Pd 0.0000 2.0088 7.7763
Pd 2.0088 0.0000 0.0000
Pd 2.0088 0.0000 4.0636
Pd 2.0088 0.0000 7.7763
Pd 2.0088 2.0088 2.0384
Pd 2.0088 2.0088 5.9199
Pd 2.0088 2.0088 9.8015
CELL_PARAMETERS angstrom
4.0176 0.0000 0.0000
0.0000 4.0176 0.0000
0.0000 0.0000 11.8399
! Symmetry: P4/mmm (123)
! E_tot (eV/atom): -4.9850
! Energy of formation from the pure elements (meV per atom): -292.6

(2)
! In3CuPd GGA-PBE optimized geometry; values from VASP
&SYSTEM
  ibrav = 0, nat = 5, ntyp = 3
/
ATOMIC_SPECIES
In 114.82 In.upf
Cu 63.55 Cu.upf
Pd 106.42 Pd.upf
ATOMIC_POSITIONS angstrom
In 0.0000 0.0000 2.5829
In 0.0000 2.5829 0.0000
In 2.5829 0.0000 0.0000
Cu 2.5829 2.5829 2.5829
Pd 0.0000 0.0000 0.0000
CELL_PARAMETERS angstrom
5.1657 0.0000 0.0000
0.0000 5.1657 0.0000
0.0000 0.0000 5.1657
! Symmetry: Pm-3m (221)
! E_tot (eV/atom): -3.2858
! Energy of formation from the pure elements (meV per atom): 215.1
! E above lowest polymorph (meV/atom): 0.0

(3)
! In2Cu3Pd8 GGA-PBE optimized geometry; values from VASP
&SYSTEM
  ibrav = 0, nat = 13, ntyp = 3
/
ATOMIC_SPECIES
In 114.82 In.upf
Cu 63.55 Cu.upf
Pd 106.42 Pd.upf
ATOMIC_POSITIONS angstrom
In 2.0199 0.0000 1.1986
In 10.6316 0.0000 3.4356
Cu 6.4957 1.2391 0.0000
Cu 6.3257 0.0000 2.3171
Cu 6.4957 -1.2391 0.0000
Pd 0.3656 0.0000 3.5104
Pd 4.2401 1.4568 1.4553
Pd 3.8997 0.0000 3.7433
Pd 8.4114 1.4568 3.1789
Pd 4.2401 -1.4568 1.4553
Pd 8.7518 0.0000 0.8909
Pd 8.4114 -1.4568 3.1789
Pd 12.2859 0.0000 1.1237
CELL_PARAMETERS angstrom
6.4957 -3.5511 0.0000
6.4957 3.5511 0.0000
-0.3398 0.0000 4.6342
! Symmetry: C2/m (12)
! E_tot (eV/atom): -4.6770
! Energy of formation from the pure elements (meV per atom): -114.8

(4)
! In3CuPd12 GGA-PBE optimized geometry; values from VASP
&SYSTEM
  ibrav = 0, nat = 16, ntyp = 3
/
ATOMIC_SPECIES
In 114.82 In.upf
Cu 63.55 Cu.upf
Pd 106.42 Pd.upf
ATOMIC_POSITIONS angstrom
In 0.0000 0.0000 0.0000
In 0.0000 0.0000 4.0570
In 0.0000 0.0000 11.8119
Cu 0.0000 0.0000 7.9345
Pd 0.0000 2.0128 2.0409
Pd 0.0000 2.0128 6.0846
Pd 0.0000 2.0128 9.7843
Pd 0.0000 2.0128 13.8280
Pd 2.0128 0.0000 2.0409
Pd 2.0128 0.0000 6.0846
Pd 2.0128 0.0000 9.7843
Pd 2.0128 0.0000 13.8280
Pd 2.0128 2.0128 0.0000
Pd 2.0128 2.0128 4.0775
Pd 2.0128 2.0128 7.9345
Pd 2.0128 2.0128 11.7915
CELL_PARAMETERS angstrom
4.0257 0.0000 0.0000
0.0000 4.0257 0.0000
0.0000 0.0000 15.8689
! Symmetry: P4/mmm (123)
! E_tot (eV/atom): -4.9939
! Energy of formation from the pure elements (meV per atom): -329.8

(5)
! PmInCuPd GGA-PBE optimized geometry; values from VASP
&SYSTEM
  ibrav = 0, nat = 4, ntyp = 4
/
ATOMIC_SPECIES
Pm 145.00 Pm.upf
In 114.82 In.upf
Cu 63.55 Cu.upf
Pd 106.42 Pd.upf
ATOMIC_POSITIONS angstrom
Pm 0.0000 0.0000 0.0000
In 3.4326 3.4326 3.4326
Cu 1.7163 1.7163 1.7163
Pd 5.1489 5.1489 5.1489
CELL_PARAMETERS angstrom
0.0000 3.4326 3.4326
3.4326 0.0000 3.4326
3.4326 3.4326 0.0000
! Symmetry: F-43m (216)
! E_tot (eV/atom): -4.6881
! Energy of formation from the pure elements (meV per atom): -493.5

(6)
! PrInCuPd3 GGA-PBE optimized geometry; values from VASP
&SYSTEM
  ibrav = 0, nat = 12, ntyp = 4
/
ATOMIC_SPECIES
Pr 140.91 Pr.upf
In 114.82 In.upf
Cu 63.55 Cu.upf
Pd 106.42 Pd.upf
ATOMIC_POSITIONS angstrom
Pr 2.8989 3.9614 5.2326
Pr 2.8989 -3.9614 1.7442
In 2.8989 4.4500 1.7442
In 2.8989 -4.4500 5.2326
Cu 2.8989 1.0963 5.2326
Cu 2.8989 -1.0963 1.7442
Pd 1.4361 0.0000 0.0000
Pd 1.4361 0.0000 3.4884
Pd 2.8989 1.7572 1.7442
Pd 2.8989 -1.7572 5.2326
Pd 4.3617 0.0000 0.0000
Pd 4.3617 0.0000 3.4884
CELL_PARAMETERS angstrom
2.8989 -6.0725 0.0000
2.8989 6.0725 0.0000
0.0000 0.0000 6.9768
! Symmetry: Cmcm (63)
! E_tot (eV/atom): -4.9384
! Energy of formation from the pure elements (meV per atom): -406.3

(7)
! Pr2InCu2Pd5 GGA-PBE optimized geometry; values from VASP
&SYSTEM
  ibrav = 0, nat = 20, ntyp = 4
/
ATOMIC_SPECIES
Pr 140.91 Pr.upf
In 114.82 In.upf
Cu 63.55 Cu.upf
Pd 106.42 Pd.upf
ATOMIC_POSITIONS angstrom
Pr 1.7103 3.1454 0.0000
Pr 3.1454 8.0011 0.0000
Pr 6.5661 1.7103 0.0000
Pr 8.0011 6.5661 0.0000
In 0.0000 0.0000 0.0000
In 4.8557 4.8557 0.0000
Cu 1.1694 6.0251 0.0000
Cu 3.6863 1.1694 0.0000
Cu 6.0251 8.5421 0.0000
Cu 8.5421 3.6863 0.0000
Pd 0.0000 4.8557 1.9652
Pd 0.6454 7.6814 1.9652
Pd 2.0301 0.6454 1.9652
Pd 2.8257 5.5012 1.9652
Pd 4.2103 2.8257 1.9652
Pd 4.8557 0.0000 1.9652
Pd 5.5012 6.8858 1.9652
Pd 6.8858 4.2103 1.9652
Pd 7.6814 9.0660 1.9652
Pd 9.0660 2.0301 1.9652
CELL_PARAMETERS angstrom
9.7115 0.0000 0.0000
0.0000 9.7115 0.0000
0.0000 0.0000 3.9304
! Symmetry: P4/mbm (127)
! E_tot (eV/atom): -5.2614
! Energy of formation from the pure elements (meV per atom): -616.0

(8)
! PrIn2CuPd4 GGA-PBE optimized geometry; values from VASP
&SYSTEM
  ibrav = 0, nat = 8, ntyp = 4
/
ATOMIC_SPECIES
Pr 140.91 Pr.upf
In 114.82 In.upf
Cu 63.55 Cu.upf
Pd 106.42 Pd.upf
ATOMIC_POSITIONS angstrom
Pr 0.0000 0.0000 0.0000
In 0.0000 0.0000 5.9514
In 0.0000 0.0000 18.8166
Cu 0.0000 0.0000 12.3840
Pd 0.0000 0.0000 3.1798
Pd 0.0000 0.0000 9.8348
Pd 0.0000 0.0000 14.9333
Pd 0.0000 0.0000 21.5882
CELL_PARAMETERS angstrom
2.3030 1.3296 8.2560
-2.3030 1.3296 8.2560
0.0000 -2.6592 8.2560
! Symmetry: R-3m (166)
! E_tot (eV/atom): -4.9120
! Energy of formation from the pure elements (meV per atom): -521.6